1.
Li2CaPdF6: relaxed, PBE.

SG = P1, No. 1
Total magnetization = 0.00 μB per cell
Uncorrected energy = -0.359 Ry/atom

Cell lengths 5.2932, 5.4924, 5.5554 Å; angles 111.15, 90.74, 114.60 degrees
Closest atoms and distances in Å follow each position.
Atoms (fractional coordinates):
Li: 0.0000 0.0000 0.0000  4 F 1.86-1.97
Li: 0.4320 0.0044 0.4823  4 F 1.87-1.97
Ca: 0.2271 0.5262 0.8159  6 F 2.22-2.34
Pd: 0.7243 0.5251 0.3043  4 F 2.00-2.03
F: 0.1967 0.0817 0.7218  2 Li 1.89-1.96
F: 0.2596 0.9223 0.1476  2 Li 1.86-1.87
F: 0.4982 0.7018 0.5356  1 Li 1.95, 1 Pd 2.03
F: 0.6702 0.6983 0.0556  1 Li 1.97, 1 Pd 2.01
F: 0.7883 0.3609 0.5578  1 Li 1.97, 1 Pd 2.02
F: 0.9328 0.3319 0.0739  1 Li 1.90, 1 Pd 2.00

---

2.
Li2CaPdF8: relaxed, PBE.

SG = P-1, No. 2
Total magnetization = 0.00 μB per cell
Uncorrected energy = -0.341 Ry/atom

Cell lengths 4.8063, 4.8187, 6.7082 Å; angles 88.09, 88.15, 88.83 degrees
Closest atoms and distances in Å follow each position.
Atoms (fractional coordinates):
Li: 0.0181 0.0181 0.2747  5 F 1.96-2.16
Li: 0.9819 0.9819 0.7253  5 F 1.96-2.16
Ca: 0.5000 0.5000 0.5000  6 F 2.18-2.33
Pd: 0.5000 0.5000 0.0000  6 F 1.95-1.96
F: 0.1827 0.1841 0.5057  2 Li 1.96-1.98, 1 Ca 2.18
F: 0.2152 0.2166 0.0141  1 Pd 1.95, 1 Li 2.16
F: 0.3016 0.6967 0.2146  1 Pd 1.96, 1 Li 2.08
F: 0.3044 0.6994 0.7851  1 Pd 1.96, 1 Li 2.08
F: 0.6956 0.3006 0.2149  1 Pd 1.96, 1 Li 2.08
F: 0.6984 0.3033 0.7854  1 Pd 1.96, 1 Li 2.08
F: 0.7848 0.7834 0.9859  1 Pd 1.95, 1 Li 2.16
F: 0.8173 0.8159 0.4943  2 Li 1.96-1.98, 1 Ca 2.18

---

3.
Li2CaPtF: relaxed, PBE.

Density of states at the Fermi level = 1.11 states/eV per cell
SG = P4/mmm, No. 123
Total magnetization = 0.00 μB per cell
Uncorrected energy = -0.307 Ry/atom

Cell lengths 4.0714, 4.0714, 4.8083 Å; angles 90.00, 90.00, 90.00 degrees
Closest atoms and distances in Å follow each position.
Atoms (fractional coordinates):
Li: 0.0000 0.5000 0.0000  2 F 2.04
Li: 0.5000 0.0000 0.0000  2 F 2.04
Ca: 0.0000 0.0000 0.5000  2 F 2.40
Pt: 0.5000 0.5000 0.5000  4 Ca 2.88, 8 Li 3.15
F: 0.0000 0.0000 0.0000  4 Li 2.04

---

4.
Li2CaPuF8: relaxed, PBE.

Density of states at the Fermi level = 6.02 states/eV per cell
SG = P-1, No. 2
Total magnetization = 4.00 μB per cell
Uncorrected energy = -0.463 Ry/atom

Cell lengths 3.9062, 5.3089, 7.7595 Å; angles 89.91, 89.98, 79.10 degrees
Closest atoms and distances in Å follow each position.
Atoms (fractional coordinates):
Li: 0.0009 0.0006 0.3169  4 F 1.94-1.96
Li: 0.9991 0.9994 0.6831  4 F 1.94-1.96
Ca: 0.5000 0.5000 0.5000  8 F 2.34-2.43
Pu: 0.5000 0.5000 0.0000  8 F 2.21-2.41
F: 0.0816 0.2366 0.5002  2 Li 1.96
F: 0.0914 0.2626 0.0007  2 Pu 2.21-2.41
F: 0.3878 0.7443 0.2361  1 Li 1.94
F: 0.3883 0.7443 0.7632  1 Li 1.94
F: 0.6117 0.2557 0.2368  1 Li 1.94
F: 0.6122 0.2557 0.7639  1 Li 1.94
F: 0.9086 0.7374 0.9993  2 Pu 2.21-2.41
F: 0.9184 0.7634 0.4998  2 Li 1.96

---

5.
Rb3Li2CaF6: relaxed, PBE.

Density of states at the Fermi level = 1.33 states/eV per cell
SG = P-3m1, No. 164
Total magnetization = 0.42 μB per cell
Uncorrected energy = -0.329 Ry/atom

Cell lengths 6.1768, 6.1768, 7.7745 Å; angles 90.00, 90.00, 120.00 degrees
Closest atoms and distances in Å follow each position.
Atoms (fractional coordinates):
Rb: 0.0000 0.0000 0.0000  6 F 3.12
Rb: 0.3333 0.6667 0.6632  9 F 3.09-3.15, 1 Li 3.19
Rb: 0.6667 0.3333 0.3368  9 F 3.09-3.15, 1 Li 3.19
Li: 0.3333 0.6667 0.2524  3 F 1.84
Li: 0.6667 0.3333 0.7476  3 F 1.84
Ca: 0.0000 0.0000 0.5000  6 F 2.27
F: 0.1698 0.3396 0.3257  1 Li 1.84
F: 0.1698 0.8302 0.3257  1 Li 1.84
F: 0.3396 0.1698 0.6743  1 Li 1.84
F: 0.6604 0.8302 0.3257  1 Li 1.84
F: 0.8302 0.1698 0.6743  1 Li 1.84
F: 0.8302 0.6604 0.6743  1 Li 1.84

---

6.
Rb2LiCaF6: relaxed, PBE.

Density of states at the Fermi level = 11.95 states/eV per cell
SG = P4/mmm, No. 123
Polymorph energy (0 for the lowest one) = 0.000 eV per formula unit
Total magnetization = 1.06 μB per cell
Uncorrected energy = -0.334 Ry/atom

Cell lengths 4.4348, 4.4348, 8.4750 Å; angles 90.00, 90.00, 90.00 degrees
Closest atoms and distances in Å follow each position.
Atoms (fractional coordinates):
Rb: 0.0000 0.0000 0.2299  12 F 2.95-3.19
Rb: 0.0000 0.0000 0.7701  12 F 2.95-3.19
Li: 0.5000 0.5000 0.0000  2 F 1.94
Ca: 0.5000 0.5000 0.5000  6 F 2.22-2.29
F: 0.0000 0.5000 0.0000  2 Li 2.22
F: 0.0000 0.5000 0.5000  2 Ca 2.22
F: 0.5000 0.0000 0.0000  2 Li 2.22
F: 0.5000 0.0000 0.5000  2 Ca 2.22
F: 0.5000 0.5000 0.2295  1 Li 1.94
F: 0.5000 0.5000 0.7705  1 Li 1.94

---

7.
RbLi3Ca4F12: relaxed, PBE.

Density of states at the Fermi level = 0.00 states/eV per cell
SG = Im-3, No. 204
Total magnetization = 0.08 μB per cell
Uncorrected energy = -0.390 Ry/atom

Cell lengths 7.2070, 7.2070, 7.2070 Å; angles 109.47, 109.47, 109.47 degrees
Closest atoms and distances in Å follow each position.
Atoms (fractional coordinates):
Rb: 0.0000 0.0000 0.0000  12 F 3.01
Li: 0.0000 0.5000 0.5000  4 F 2.02
Li: 0.5000 0.0000 0.5000  4 F 2.02
Li: 0.5000 0.5000 0.0000  4 F 2.02
Ca: 0.0000 0.0000 0.5000  6 F 2.28
Ca: 0.0000 0.5000 0.0000  6 F 2.28
Ca: 0.5000 0.0000 0.0000  6 F 2.28
Ca: 0.5000 0.5000 0.5000  6 F 2.28
F: 0.1563 0.8350 0.3212  1 Li 2.02
F: 0.1650 0.3212 0.4862  1 Li 2.02
F: 0.1650 0.6788 0.8437  1 Li 2.02
F: 0.3212 0.1563 0.8350  1 Li 2.02
F: 0.3212 0.4862 0.1650  1 Li 2.02
F: 0.4862 0.1650 0.3212  1 Li 2.02
F: 0.5138 0.8350 0.6788  1 Li 2.02
F: 0.6788 0.5138 0.8350  1 Li 2.02
F: 0.6788 0.8437 0.1650  1 Li 2.02
F: 0.8350 0.3212 0.1563  1 Li 2.02
F: 0.8350 0.6788 0.5138  1 Li 2.02
F: 0.8437 0.1650 0.6788  1 Li 2.02

---

8.
RbLiCaF4: relaxed, PBE.

Density of states at the Fermi level = 0.00 states/eV per cell
SG = P2_1/m, No. 11
Total magnetization = 0.21 μB per cell
Uncorrected energy = -0.369 Ry/atom

Cell lengths 5.6789, 5.7133, 7.6193 Å; angles 90.00, 110.14, 90.00 degrees
Closest atoms and distances in Å follow each position.
Atoms (fractional coordinates):
Rb: 0.2088 0.2500 0.4346  2 F 2.69-2.78
Rb: 0.7912 0.7500 0.5654  2 F 2.69-2.78
Li: 0.2626 0.7500 0.1778  4 F 1.84-1.87
Li: 0.7374 0.2500 0.8222  4 F 1.84-1.87
Ca: 0.2903 0.2500 0.9529  6 F 2.28-2.34
Ca: 0.7097 0.7500 0.0471  6 F 2.28-2.34
F: 0.0351 0.7500 0.9371  1 Li 1.84
F: 0.0542 0.7500 0.3173  1 Li 1.84
F: 0.4916 0.5103 0.1883  1 Li 1.87
F: 0.4916 0.9897 0.1883  1 Li 1.87
F: 0.5084 0.0103 0.8117  1 Li 1.87
F: 0.5084 0.4897 0.8117  1 Li 1.87
F: 0.9458 0.2500 0.6827  1 Li 1.84
F: 0.9649 0.2500 0.0629  1 Li 1.84

---

9.
Rb2LiCaF6: relaxed, PBE.

Density of states at the Fermi level = 14.24 states/eV per cell
SG = Fm-3m, No. 225
Polymorph energy (0 for the lowest one) = 0.094 eV per formula unit
Total magnetization = 1.00 μB per cell
Uncorrected energy = -0.333 Ry/atom

Cell lengths 6.1360, 6.1360, 6.1360 Å; angles 60.00, 60.00, 60.00 degrees
Closest atoms and distances in Å follow each position.
Atoms (fractional coordinates):
Rb: 0.2500 0.2500 0.2500  12 F 3.07
Rb: 0.7500 0.7500 0.7500  12 F 3.07
Li: 0.0000 0.0000 0.0000  6 F 2.09
Ca: 0.5000 0.5000 0.5000  6 F 2.25
F: 0.2406 0.2406 0.7594  1 Li 2.09, 1 Ca 2.25
F: 0.2406 0.7594 0.2406  1 Li 2.09, 1 Ca 2.25
F: 0.2406 0.7594 0.7594  1 Li 2.09, 1 Ca 2.25
F: 0.7594 0.2406 0.2406  1 Li 2.09, 1 Ca 2.25
F: 0.7594 0.2406 0.7594  1 Li 2.09, 1 Ca 2.25
F: 0.7594 0.7594 0.2406  1 Li 2.09, 1 Ca 2.25

---

10.
LiCaRe2F: relaxed, PBE.

Density of states at the Fermi level = 3.20 states/eV per cell
SG = P4/mmm, No. 123
Total magnetization = 6.95 μB per cell
Uncorrected energy = -0.277 Ry/atom

Cell lengths 5.2123, 5.2123, 6.1729 Å; angles 90.00, 90.00, 90.00 degrees
Closest atoms and distances in Å follow each position.
Atoms (fractional coordinates):
Li: 0.0000 0.0000 0.0000  2 Ca 3.09
Ca: 0.0000 0.0000 0.5000  4 Re 2.61
Re: 0.0000 0.5000 0.5000  2 Ca 2.61
Re: 0.5000 0.0000 0.5000  2 Ca 2.61
F: 0.5000 0.5000 0.0000  4 Li 3.69, 8 Re 4.04

---

11.
Li2CaRuF8: relaxed, PBE.

Density of states at the Fermi level = 1.22 states/eV per cell
SG = P2/m, No. 10
Total magnetization = 2.00 μB per cell
Uncorrected energy = -0.380 Ry/atom

Cell lengths 4.7883, 6.8297, 4.7971 Å; angles 90.00, 94.03, 90.00 degrees
Closest atoms and distances in Å follow each position.
Atoms (fractional coordinates):
Li: 0.0000 0.2089 0.0000  4 F 1.94-2.00
Li: 0.0000 0.7911 0.0000  4 F 1.94-2.00
Ca: 0.5000 0.0000 0.5000  6 F 2.20-2.34
Ru: 0.5000 0.5000 0.5000  6 F 1.89-1.99
F: 0.1870 0.0000 0.8138  2 Li 1.94
F: 0.2314 0.5000 0.7710  1 Ru 1.89
F: 0.2952 0.2825 0.2973  1 Ru 1.99, 1 Li 2.00
F: 0.2952 0.7175 0.2973  1 Ru 1.99, 1 Li 2.00
F: 0.7048 0.2825 0.7027  1 Ru 1.99, 1 Li 2.00
F: 0.7048 0.7175 0.7027  1 Ru 1.99, 1 Li 2.00
F: 0.7686 0.5000 0.2290  1 Ru 1.89
F: 0.8130 0.0000 0.1862  2 Li 1.94

---

Q: Which formula does entry 11 have?
A: Li2CaRuF8